## one
This record from Alexandria describes crystalline Pr2Y2Er5 at its relaxed geometry. The functional is PBE-GGA.

- mass density (g/cm³) = 7.26
- V (Å³/cell) = 593

Cell: 11.8490 6.7027 10.1054 Å, 109.37 125.89 90.00°
Closest atoms and distances in Å follow each position.
Positions (direct):
Er 0.1887 0.1537 0.8942  5 Er 3.20-3.57, 1 Pr 3.25, 1 Y 3.35
Er 0.6234 0.7575 0.7161  5 Er 3.20-3.57, 1 Y 3.38, 2 Pr 3.40-3.57
Er 0.5927 0.2575 0.7161  5 Er 3.20-3.57, 1 Y 3.38, 2 Pr 3.40-3.57
Er 0.0016 0.6485 0.5000  6 Er 3.21-3.60, 1 Pr 3.38, 2 Y 3.58
Er 0.4073 0.5414 0.2839  5 Er 3.20-3.57, 1 Y 3.38, 2 Pr 3.40-3.57
Er 0.9984 0.1485 0.5000  6 Er 3.21-3.60, 1 Pr 3.38, 2 Y 3.58
Er 0.7945 0.7595 0.1058  5 Er 3.20-3.57, 1 Pr 3.25, 1 Y 3.35
Er 0.2055 0.6537 0.8942  5 Er 3.20-3.57, 1 Pr 3.25, 1 Y 3.35
Er 0.8113 0.2595 0.1058  5 Er 3.20-3.57, 1 Pr 3.25, 1 Y 3.35
Er 0.3766 0.0414 0.2839  5 Er 3.20-3.57, 1 Y 3.38, 2 Pr 3.40-3.57
Y 0.6313 0.1823 0.2521  4 Er 3.35-3.66, 2 Pr 3.56-3.58, 1 Y 3.70
Y 0.3687 0.9302 0.7479  4 Er 3.35-3.66, 2 Pr 3.56-3.58, 1 Y 3.70
Y 0.1208 0.6823 0.2521  4 Er 3.35-3.66, 2 Pr 3.56-3.58, 1 Y 3.70
Y 0.8792 0.4302 0.7479  4 Er 3.35-3.66, 2 Pr 3.56-3.58, 1 Y 3.70
Pr 0.5000 0.5098 0.0000  4 Er 3.25-3.57, 2 Y 3.58
Pr 0.0000 0.0098 0.0000  4 Er 3.25-3.57, 2 Y 3.58
Pr 0.7405 0.8532 0.5000  4 Er 3.38-3.64, 2 Y 3.56, 2 Pr 3.79
Pr 0.2595 0.3532 0.5000  4 Er 3.38-3.64, 2 Y 3.56, 2 Pr 3.79

---

## two
This record from Alexandria describes crystalline Pr2Y2Er5 at its relaxed geometry. The functional is PBE-GGA.

- mass density (g/cm³) = 7.03
- V (Å³/cell) = 306

Cell: 3.4888 8.2454 12.5410 Å, 120.67 98.00 90.00°
Closest atoms and distances in Å follow each position.
Positions (direct):
Er 0.0967 0.4600 0.1935  5 Er 3.28-3.49, 4 Y 3.52-3.57, 1 Pr 3.56
Er 0.6907 0.8518 0.3814  1 Y 3.20, 6 Er 3.21-3.49, 1 Pr 3.50
Er 0.0000 0.0000 0.0000  4 Er 3.28-3.49, 4 Y 3.41
Er 0.3093 0.1482 0.6186  1 Y 3.20, 6 Er 3.21-3.49, 1 Pr 3.50
Er 0.9033 0.5400 0.8065  5 Er 3.28-3.49, 4 Y 3.52-3.57, 1 Pr 3.56
Y 0.4533 0.2621 0.9066  7 Er 3.20-3.57, 3 Y 3.38-3.49
Y 0.5467 0.7379 0.0934  7 Er 3.20-3.57, 3 Y 3.38-3.49
Pr 0.1823 0.2213 0.3647  2 Pr 3.49, 4 Er 3.50-3.61
Pr 0.8177 0.7787 0.6353  2 Pr 3.49, 4 Er 3.50-3.61

---

So which one wins? Going from most stable to least: one, two.

---

## one
This record from Alexandria describes crystalline Pr2Y3Er6 at its relaxed geometry. The functional is PBE-GGA.

- mass density (g/cm³) = 6.91
- V (Å³/cell) = 373

Cell: 6.1065 6.1126 11.7095 Å, 84.98 79.92 60.03°
Closest atoms and distances in Å follow each position.
Positions (direct):
Er 0.4159 0.6664 0.7529  3 Y 3.50-3.51, 6 Er 3.53, 2 Pr 3.56
Er 0.0823 0.3336 0.7529  3 Y 3.50-3.51, 6 Er 3.53, 2 Pr 3.56
Er 0.5841 0.3336 0.2471  3 Y 3.50-3.51, 6 Er 3.53, 2 Pr 3.56
Er 0.2506 0.0000 0.2473  3 Y 3.49-3.50, 6 Er 3.53, 2 Pr 3.55
Er 0.9177 0.6664 0.2471  3 Y 3.50-3.51, 6 Er 3.53, 2 Pr 3.56
Er 0.7494 0.0000 0.7527  3 Y 3.49-3.50, 6 Er 3.53, 2 Pr 3.55
Pr 0.8333 0.3334 0.5000  3 Pr 3.53, 6 Er 3.55-3.56
Pr 0.1667 0.6666 0.5000  3 Pr 3.53, 6 Er 3.55-3.56
Y 0.3350 0.3300 0.0000  6 Er 3.49-3.51, 6 Y 3.49-3.55
Y 0.6650 0.6700 0.0000  6 Er 3.49-3.51, 6 Y 3.49-3.55
Y 0.0000 0.0000 0.0000  6 Er 3.50, 6 Y 3.52-3.55

---

## two
This record from Alexandria describes crystalline Pr2Y3Er6 at its relaxed geometry. The functional is PBE-GGA.

- mass density (g/cm³) = 6.93
- V (Å³/cell) = 372

Cell: 4.7436 4.7436 16.8639 Å, 98.09 98.09 90.00°
Closest atoms and distances in Å follow each position.
Positions (direct):
Y 0.0000 0.0000 0.0000  8 Pr 3.69
Y 0.7965 0.7965 0.5929  9 Er 3.37-3.60
Y 0.2035 0.2035 0.4071  9 Er 3.37-3.60
Pr 0.5466 0.5466 0.0931  1 Pr 3.08, 4 Er 3.44
Pr 0.4534 0.4534 0.9069  1 Pr 3.08, 4 Er 3.44
Er 0.3074 0.3074 0.6148  4 Er 3.33, 5 Y 3.37-3.43
Er 0.8782 0.3782 0.7565  6 Er 3.33-3.35, 2 Pr 3.44, 2 Y 3.60
Er 0.3782 0.8782 0.7565  6 Er 3.33-3.35, 2 Pr 3.44, 2 Y 3.60
Er 0.1218 0.6218 0.2435  6 Er 3.33-3.35, 2 Pr 3.44, 2 Y 3.60
Er 0.6926 0.6926 0.3852  4 Er 3.33, 5 Y 3.37-3.43
Er 0.6218 0.1218 0.2435  6 Er 3.33-3.35, 2 Pr 3.44, 2 Y 3.60

---

So which one wins? Going from most stable to least: one, two.

---

## one
This record from Alexandria describes crystalline Pr2Y6Er at its relaxed geometry. The functional is PBE-GGA.

- mass density (g/cm³) = 5.52
- V (Å³/cell) = 591

Cell: 6.1090 10.1776 10.1776 Å, 70.25 84.29 84.29°
Closest atoms and distances in Å follow each position.
Positions (direct):
Y 0.8214 0.0250 0.7494  4 Y 3.32-3.54, 2 Er 3.35-3.43, 2 Pr 3.47-3.65
Y 0.8588 0.6581 0.9213  4 Pr 3.42-3.80, 4 Y 3.43-3.54, 1 Er 3.50
Y 0.9861 0.4104 0.6871  4 Y 3.32-3.62, 3 Pr 3.46-3.61, 1 Er 3.52
Y 0.1412 0.3419 0.0787  4 Pr 3.42-3.80, 4 Y 3.43-3.54, 1 Er 3.50
Y 0.5139 0.3129 0.5896  4 Y 3.32-3.62, 3 Pr 3.46-3.61, 1 Er 3.52
Y 0.0139 0.5896 0.3129  4 Y 3.32-3.62, 3 Pr 3.46-3.61, 1 Er 3.52
Y 0.6412 0.0787 0.3419  4 Pr 3.42-3.80, 4 Y 3.43-3.54, 1 Er 3.50
Y 0.6786 0.2506 0.9750  4 Y 3.32-3.54, 2 Er 3.35-3.43, 2 Pr 3.47-3.65
Y 0.3588 0.9213 0.6581  4 Pr 3.42-3.80, 4 Y 3.43-3.54, 1 Er 3.50
Y 0.1786 0.9750 0.2506  4 Y 3.32-3.54, 2 Er 3.35-3.43, 2 Pr 3.47-3.65
Y 0.3214 0.7494 0.0250  4 Y 3.32-3.54, 2 Er 3.35-3.43, 2 Pr 3.47-3.65
Y 0.4861 0.6871 0.4104  4 Y 3.32-3.62, 3 Pr 3.46-3.61, 1 Er 3.52
Pr 0.0749 0.2274 0.4363  10 Y 3.42-3.80
Pr 0.9251 0.7726 0.5637  10 Y 3.42-3.80
Pr 0.4251 0.5637 0.7726  10 Y 3.42-3.80
Pr 0.5749 0.4363 0.2274  10 Y 3.42-3.80
Er 0.2500 0.0995 0.9005  8 Y 3.35-3.52
Er 0.7500 0.9005 0.0995  8 Y 3.35-3.52

---

## two
This record from Alexandria describes crystalline Pr2Y6Er at its relaxed geometry. The functional is PBE-GGA.

- mass density (g/cm³) = 5.45
- V (Å³/cell) = 598

Cell: 6.6149 9.6782 9.6782 Å, 96.21 80.89 80.89°
Closest atoms and distances in Å follow each position.
Positions (direct):
Y 0.0048 0.2747 0.6533  5 Y 3.28-3.58, 1 Er 3.32, 3 Pr 3.44-3.57
Y 0.5048 0.6533 0.2747  5 Y 3.28-3.58, 1 Er 3.32, 3 Pr 3.44-3.57
Y 0.2284 0.4584 0.0592  6 Y 3.40-3.56, 2 Pr 3.47-3.70, 1 Er 3.52
Y 0.9952 0.7253 0.3467  5 Y 3.28-3.58, 1 Er 3.32, 3 Pr 3.44-3.57
Y 0.6894 0.2220 0.0433  3 Y 3.33-3.48, 3 Er 3.40-3.73, 2 Pr 3.54-3.56
Y 0.3106 0.7780 0.9567  3 Y 3.33-3.48, 3 Er 3.40-3.73, 2 Pr 3.54-3.56
Y 0.8106 0.9567 0.7780  3 Y 3.33-3.48, 3 Er 3.40-3.73, 2 Pr 3.54-3.56
Y 0.2716 0.9408 0.5416  6 Y 3.40-3.56, 2 Pr 3.47-3.70, 1 Er 3.52
Y 0.4952 0.3467 0.7253  5 Y 3.28-3.58, 1 Er 3.32, 3 Pr 3.44-3.57
Y 0.7284 0.0592 0.4584  6 Y 3.40-3.56, 2 Pr 3.47-3.70, 1 Er 3.52
Y 0.1894 0.0433 0.2220  3 Y 3.33-3.48, 3 Er 3.40-3.73, 2 Pr 3.54-3.56
Y 0.7716 0.5416 0.9408  6 Y 3.40-3.56, 2 Pr 3.47-3.70, 1 Er 3.52
Er 0.2500 0.1164 0.8836  8 Y 3.32-3.72
Er 0.7500 0.8836 0.1164  8 Y 3.32-3.72
Pr 0.8745 0.3835 0.3329  3 Pr 3.39-3.65, 7 Y 3.44-3.70
Pr 0.6255 0.6671 0.6165  3 Pr 3.39-3.65, 7 Y 3.44-3.70
Pr 0.1255 0.6165 0.6671  3 Pr 3.39-3.65, 7 Y 3.44-3.70
Pr 0.3745 0.3329 0.3835  3 Pr 3.39-3.65, 7 Y 3.44-3.70

---

So which one wins? Going from most stable to least: one, two.

---

## one
This record from Alexandria describes crystalline Pr3Y2Er6 at its relaxed geometry. The functional is PBE-GGA.

- mass density (g/cm³) = 7.04
- V (Å³/cell) = 378

Cell: 4.7574 4.7574 17.0477 Å, 98.02 98.02 90.00°
Closest atoms and distances in Å follow each position.
Positions (direct):
Pr 0.7948 0.7948 0.5896  9 Er 3.40-3.68
Pr 0.2052 0.2052 0.4104  9 Er 3.40-3.68
Pr 0.0000 0.0000 0.0000  8 Y 3.71
Er 0.3085 0.3085 0.6171  4 Er 3.34, 5 Pr 3.40-3.45
Er 0.3788 0.8788 0.7576  6 Er 3.34-3.36, 2 Y 3.44, 2 Pr 3.68
Er 0.8788 0.3788 0.7576  6 Er 3.34-3.36, 2 Y 3.44, 2 Pr 3.68
Er 0.6915 0.6915 0.3829  4 Er 3.34, 5 Pr 3.40-3.45
Er 0.6212 0.1212 0.2424  6 Er 3.34-3.36, 2 Y 3.44, 2 Pr 3.68
Er 0.1212 0.6212 0.2424  6 Er 3.34-3.36, 2 Y 3.44, 2 Pr 3.68
Y 0.4533 0.4533 0.9067  1 Y 3.12, 4 Er 3.44
Y 0.5467 0.5467 0.0933  1 Y 3.12, 4 Er 3.44

---

## two
This record from Alexandria describes crystalline Pr3Y2Er6 at its relaxed geometry. The functional is PBE-GGA.

- mass density (g/cm³) = 7.04
- V (Å³/cell) = 379

Cell: 6.1803 6.1893 11.6109 Å, 84.86 79.66 60.05°
Closest atoms and distances in Å follow each position.
Positions (direct):
Er 0.7509 0.0000 0.7464  2 Y 3.49, 3 Pr 3.54-3.56, 6 Er 3.56-3.58
Er 0.4182 0.6672 0.7458  2 Y 3.49, 3 Pr 3.56-3.57, 6 Er 3.56-3.58
Er 0.9146 0.6672 0.2542  2 Y 3.49, 3 Pr 3.56-3.57, 6 Er 3.56-3.58
Er 0.5818 0.3328 0.2542  2 Y 3.49, 3 Pr 3.56-3.57, 6 Er 3.56-3.58
Er 0.0854 0.3328 0.7458  2 Y 3.49, 3 Pr 3.56-3.57, 6 Er 3.56-3.58
Er 0.2491 0.0000 0.2536  2 Y 3.49, 3 Pr 3.54-3.56, 6 Er 3.56-3.58
Pr 0.0000 0.0000 0.0000  6 Pr 3.56-3.60, 6 Er 3.56
Pr 0.3354 0.3292 0.0000  6 Pr 3.53-3.60, 6 Er 3.54-3.57
Pr 0.6646 0.6708 0.0000  6 Pr 3.53-3.60, 6 Er 3.54-3.57
Y 0.8339 0.3323 0.5000  6 Er 3.49, 3 Y 3.56-3.58
Y 0.1661 0.6677 0.5000  6 Er 3.49, 3 Y 3.56-3.58

---

So which one wins? Going from most stable to least: two, one.